A plane-wave DFT calculation with PBE was carried out for crystalline Y3AuSe2 at its relaxed geometry.

density of states at the Fermi level = 5.79 states/eV per cell
uncorrected formation energy = -1446 meV per atom
offset from the most stable computed form = 0.14 kcal/mol of atoms

Cell: 4.016 5.873 7.294 Å, 113.74 105.98 90.00°
Atoms (fractional coordinates):
Y 0.168 0.668 0.836
Au 0.500 0.500 0.500
Y 0.832 0.332 0.164
Se 0.834 0.834 0.167
Y 0.500 0.000 0.500
Se 0.166 0.166 0.833

=====

A plane-wave DFT calculation with PBE was carried out for crystalline Er3Rh at its relaxed geometry.

density of states at the Fermi level = 4.71 states/eV per cell
energy of formation from the pure elements = -22.5 kJ per mole of atoms

Cell: 3.635 3.378 8.906 Å, 90.00 90.00 90.00°
Atoms (fractional coordinates):
Rh 0.000 0.000 0.983
Er 0.000 0.500 0.470
Er 0.500 0.500 0.130
Er 0.500 0.000 0.751

=====

A plane-wave DFT calculation with PBE was carried out for crystalline RbZnOF2 at its relaxed geometry.

density of states at the Fermi level = 4.30 states/eV per cell
uncorrected formation energy = -1801 meV per atom
offset from the most stable computed form = 0.00 kcal/mol of atoms

Cell: 4.344 4.344 3.913 Å, 90.00 90.00 90.00°
Site moments in Bohr magnetons follow the coordinates.
Atoms (fractional coordinates):
Rb 0.500 0.500 0.500  0.00
F 0.500 0.000 0.000  0.05
Zn 0.000 0.000 0.000  0.06
F 0.000 0.500 0.000  0.05
O 0.000 0.000 0.500  0.64

=====

A plane-wave DFT calculation with PBE was carried out for crystalline Pm4SmS7 at its relaxed geometry.

density of states at the Fermi level = 1.35 states/eV per cell
uncorrected formation energy = -2062 meV per atom

Cell: 3.923 6.923 11.870 Å, 104.26 90.00 106.46°
Atoms (fractional coordinates):
S 0.042 0.085 0.784
S 0.957 0.915 0.215
Pm 0.000 0.000 0.000
Pm 0.699 0.399 0.810
S 0.659 0.319 0.051
S 0.261 0.522 0.648
S 0.340 0.681 0.949
Pm 0.112 0.223 0.421
S 0.499 0.999 0.501
Sm 0.888 0.776 0.579
S 0.741 0.481 0.352
Pm 0.301 0.601 0.189

=====

A plane-wave DFT calculation with PBE was carried out for crystalline Sr2CuH6O6 at its relaxed geometry.

total energy = -160.22 eV per cell

Cell: 6.266 5.816 9.768 Å, 55.80 90.00 90.00°
Site moments in Bohr magnetons follow the coordinates.
Atoms (fractional coordinates):
O 0.274 0.301 0.547  0.08
H 0.272 0.212 0.485  0.00
H 0.165 0.826 0.025  0.00
O 0.226 0.301 0.047  0.08
O 0.536 0.374 0.235  0.09
H 0.335 0.826 0.525  0.00
H 0.425 0.230 0.300  0.00
Sr 0.074 0.787 0.753  0.00
Cu 0.500 0.500 0.000  0.60
H 0.075 0.230 0.800  0.00
H 0.575 0.770 0.700  0.00
H 0.728 0.788 0.515  0.00
O 0.774 0.699 0.953  0.08
H 0.835 0.174 0.975  0.00
O 0.244 0.957 0.431  0.01
Sr 0.574 0.213 0.747  0.00
O 0.464 0.626 0.765  0.09
O 0.726 0.699 0.453  0.08
O 0.964 0.374 0.735  0.09
H 0.228 0.212 0.985  0.00
O 0.256 0.957 0.931  0.01
H 0.665 0.174 0.475  0.00
O 0.756 0.043 0.569  0.01
H 0.772 0.788 0.015  0.00
Cu 0.000 0.500 0.500  0.60
O 0.744 0.043 0.069  0.01
O 0.036 0.626 0.265  0.09
H 0.925 0.770 0.200  0.00
Sr 0.426 0.787 0.253  0.00
Sr 0.926 0.213 0.247  0.00

=====

A plane-wave DFT calculation with PBE was carried out for crystalline Ce3NpSi7 at its relaxed geometry.

density of states at the Fermi level = 44.51 states/eV per cell
uncorrected formation energy = -493 meV per atom

Cell: 4.214 9.537 11.605 Å, 90.00 90.00 102.76°
Site moments in Bohr magnetons follow the coordinates.
Atoms (fractional coordinates):
Si 0.630 0.260 0.649  -0.01
Si 0.268 0.536 0.036  0.00
Si 0.495 0.990 0.099  0.00
Si 0.370 0.740 0.149  -0.01
Np 0.041 0.083 0.750  3.62
Np 0.959 0.917 0.250  3.62
Ce 0.894 0.788 0.545  0.32
Ce 0.894 0.788 0.955  0.32
Si 0.505 0.010 0.901  0.00
Ce 0.106 0.212 0.045  0.32
Si 0.370 0.740 0.351  -0.01
Si 0.732 0.464 0.964  0.00
Si 0.412 0.824 0.750  0.00
Si 0.268 0.536 0.464  0.00
Si 0.732 0.464 0.536  0.00
Si 0.588 0.176 0.250  0.00
Ce 0.106 0.212 0.455  0.32
Si 0.505 0.010 0.599  0.00
Ce 0.242 0.484 0.750  0.64
Si 0.630 0.260 0.851  -0.01
Ce 0.758 0.516 0.250  0.64
Si 0.495 0.990 0.401  0.00

=====

A plane-wave DFT calculation with PBE was carried out for crystalline AlGaCoBi2 at its relaxed geometry.

density of states at the Fermi level = 3.69 states/eV per cell
energy of formation from the pure elements = 25.5 kJ per mole of atoms

Cell: 5.179 4.531 5.179 Å, 90.00 90.00 90.00°
Atoms (fractional coordinates):
Co 0.000 0.000 0.000
Al 0.000 0.500 0.000
Ga 0.500 0.500 0.500
Bi 0.000 0.000 0.500
Bi 0.500 0.000 0.000

=====

A plane-wave DFT calculation with PBE was carried out for crystalline NaO2F2 at its relaxed geometry.

density of states at the Fermi level = 4.21 states/eV per cell
uncorrected formation energy = 201 meV per atom
offset from the most stable computed form = 30.42 kcal/mol of atoms

Cell: 4.327 4.327 4.529 Å, 90.00 90.00 90.00°
Site moments in Bohr magnetons follow the coordinates.
Atoms (fractional coordinates):
F 0.000 0.500 0.000  0.45
O 0.500 0.500 0.500  1.73
O 0.000 0.000 0.500  1.50
F 0.500 0.000 0.000  0.45
Na 0.000 0.000 0.000  -0.01

=====

A plane-wave DFT calculation with PBE was carried out for crystalline CaTe2Mo at its relaxed geometry.

density of states at the Fermi level = 2.46 states/eV per cell
uncorrected formation energy = -148 meV per atom
offset from the most stable computed form = 6.55 kcal/mol of atoms

Cell: 5.208 5.213 3.590 Å, 90.00 90.00 90.00°
Site moments in Bohr magnetons follow the coordinates.
Atoms (fractional coordinates):
Ca 0.500 0.000 0.500  0.03
Mo 0.000 0.500 0.500  2.35
Te 0.500 0.500 0.000  -0.07
Te 0.000 0.000 0.000  -0.07